Entry 1:
# Tb2Pm4Tm3, relaxed, DFT GGA-PBE
data_Tb2Pm4Tm3
_chemical_formula_sum 'Tb8 Pm16 Tm12'
_symmetry_space_group_name_H-M 'C c c m'
_symmetry_Int_Tables_number 66
_symmetry_space_group_name_Hall '-C 2 2c'
_cell_length_a 9.7795
_cell_length_b 16.9050
_cell_length_c 7.0323
_cell_angle_alpha 90.00
_cell_angle_beta 90.00
_cell_angle_gamma 90.00
loop_
_atom_site_label
_atom_site_type_symbol
_atom_site_fract_x
_atom_site_fract_y
_atom_site_fract_z
Tb1 Tb 0.1911 0.1592 0.0000
Pm1 Pm 0.1440 0.1745 0.5000
Pm2 Pm 0.1648 0.4827 0.5000
Tm1 Tm 0.0000 0.0000 0.2500
Tm2 Tm 0.0000 0.3306 0.2500
# ΔE to the lowest computed polymorph   0.230 eV per formula unit
# Formation energy   44 meV/atom
# Total magnetization   0.000 Bohr magnetons per cell



Entry 2:
# Tb6Pm5Tm, relaxed, DFT GGA-PBE
data_Tb6Pm5Tm
_chemical_formula_sum 'Tb12 Pm10 Tm2'
_symmetry_space_group_name_H-M 'I m m m'
_symmetry_Int_Tables_number 71
_symmetry_space_group_name_Hall '-I 2 2'
_cell_length_a 5.0779
_cell_length_b 10.1526
_cell_length_c 15.2400
_cell_angle_alpha 90.00
_cell_angle_beta 90.00
_cell_angle_gamma 90.00
loop_
_atom_site_label
_atom_site_type_symbol
_atom_site_fract_x
_atom_site_fract_y
_atom_site_fract_z
Tb1 Tb 0.0000 0.2482 0.0000
Tb2 Tb 0.0000 0.2511 0.3338
Pm1 Pm 0.0000 0.0000 0.1655
Pm2 Pm 0.0000 0.0000 0.5000
Pm3 Pm 0.0000 0.5000 0.1667
Tm1 Tm 0.0000 0.5000 0.5000
# Formation energy   18 meV/atom
# Total magnetization   0.000 Bohr magnetons per cell



Entry 3:
# TbPm2Tm7, relaxed, DFT GGA-PBE
data_TbPm2Tm7
_chemical_formula_sum 'Tb2 Pm4 Tm14'
_symmetry_space_group_name_H-M 'C m m m'
_symmetry_Int_Tables_number 65
_symmetry_space_group_name_Hall '-C 2 2'
_cell_length_a 6.4129
_cell_length_b 28.5566
_cell_length_c 3.4961
_cell_angle_alpha 90.00
_cell_angle_beta 90.00
_cell_angle_gamma 90.00
loop_
_atom_site_label
_atom_site_type_symbol
_atom_site_fract_x
_atom_site_fract_y
_atom_site_fract_z
Tb1 Tb 0.0000 0.0000 0.0000
Pm1 Pm 0.0000 0.2912 0.5000
Tm1 Tm 0.0000 0.1840 0.0000
Tm2 Tm 0.0000 0.5000 0.5000
Tm3 Tm 0.2465 0.0981 0.5000
# ΔE to the lowest computed polymorph   1.390 eV per formula unit
# Formation energy   162 meV/atom
# Total magnetization   0.001 Bohr magnetons per cell



Entry 4:
# Tb8Pm2Tm, relaxed, DFT GGA-PBE
data_Tb8Pm2Tm
_chemical_formula_sum 'Tb16 Pm4 Tm2'
_symmetry_space_group_name_H-M 'C 1 2/m 1'
_symmetry_Int_Tables_number 12
_symmetry_space_group_name_Hall '-C 2y'
_cell_length_a 9.0276
_cell_length_b 16.1682
_cell_length_c 5.8944
_cell_angle_alpha 90.00
_cell_angle_beta 123.01
_cell_angle_gamma 90.00
loop_
_atom_site_label
_atom_site_type_symbol
_atom_site_fract_x
_atom_site_fract_y
_atom_site_fract_z
Tb1 Tb 0.0000 0.2064 0.0000
Tb2 Tb 0.0746 0.5000 0.7960
Tb3 Tb 0.2141 0.1157 0.6754
Pm1 Pm 0.0000 0.3073 0.5000
Tm1 Tm 0.0000 0.0000 0.0000
# ΔE to the lowest computed polymorph   1.519 eV per formula unit
# Formation energy   155 meV/atom
# Total magnetization   0.000 Bohr magnetons per cell